This record from Alexandria describes a relaxed Zr2CdAgH crystal. The functional is GGA-PBE.

Cell: 4.381 4.381 4.435 Å, 90.00 90.00 90.00°
Positions (direct):
H  0.000  0.000  0.000
Zr  0.000  0.500  0.000
Zr  0.500  0.000  0.000
Ag  0.000  0.000  0.500
Cd  0.500  0.500  0.500

Calculated values
N(E_F): 4.246 states/eV/cell
Polymorph energy (0 for the lowest one): 0.0000 eV per atom
Final energy: -4.99 eV per atom


This record from Alexandria describes a relaxed NbGaCuPd crystal. The functional is GGA-PBE.

Cell: 4.421 4.421 4.421 Å, 60.00 60.00 60.00°
Positions (direct):
Nb  0.500  0.500  0.500
Cu  0.250  0.250  0.250
Ga  0.000  0.000  0.000
Pd  0.750  0.750  0.750

Calculated values
N(E_F): 2.234 states/eV/cell
E_form: -0.189 eV/atom
Final energy: -5.79 eV per atom


This record from Alexandria describes a relaxed CaTeCl2 crystal. The functional is GGA-PBE.

Cell: 4.923 4.922 5.288 Å, 90.00 90.00 90.00°
Positions (direct):
Ca  0.500  0.500  0.631
Te  0.000  0.000  0.598
Cl  0.000  0.000  0.141
Cl  0.500  0.500  0.130

Calculated values
N(E_F): 0.016 states/eV/cell
Polymorph energy (0 for the lowest one): 0.2260 eV per atom
Final energy: -3.44 eV per atom


This record from Alexandria describes a relaxed PmNd2Ag2Hg2 crystal. The functional is GGA-PBE.

Cell: 4.922 4.922 9.400 Å, 74.82 74.82 60.00°
Positions (direct):
Pm  0.000  0.000  0.000
Nd  0.123  0.123  0.630
Nd  0.877  0.877  0.370
Ag  0.604  0.604  0.189
Ag  0.396  0.396  0.811
Hg  0.737  0.737  0.788
Hg  0.263  0.263  0.212

Calculated values
N(E_F): 6.129 states/eV/cell
E_form: -0.256 eV/atom
Final energy: -3.20 eV per atom


Question: Which formula does entry 1 have?
Answer: Zr2CdAgH


Copy entry 4 word for word.
This record from Alexandria describes a relaxed PmNd2Ag2Hg2 crystal. The functional is GGA-PBE.

Cell: 4.922 4.922 9.400 Å, 74.82 74.82 60.00°
Positions (direct):
Pm  0.000  0.000  0.000
Nd  0.123  0.123  0.630
Nd  0.877  0.877  0.370
Ag  0.604  0.604  0.189
Ag  0.396  0.396  0.811
Hg  0.737  0.737  0.788
Hg  0.263  0.263  0.212

Calculated values
N(E_F): 6.129 states/eV/cell
E_form: -0.256 eV/atom
Final energy: -3.20 eV per atom


Question: What is the formula in the second record?
Answer: NbGaCuPd